Li2Cd2Bi GGA-PBEsol relaxed; space-group type = P4/mbm; electronic total energy = -2.33 eV/atom
1.0
8.070 0.000 0.000
0.000 8.070 0.000
0.000 0.000 3.237
Li Cd Bi
4 4 2
direct
0.169 0.331 0.000
0.331 0.831 0.000
0.669 0.169 0.000
0.831 0.669 0.000
0.127 0.627 0.500
0.373 0.127 0.500
0.627 0.873 0.500
0.873 0.373 0.500
0.000 0.000 0.500
0.500 0.500 0.500

ZnNi2Ir GGA-PBEsol relaxed; space-group type = Cmmm; electronic total energy = -6.07 eV/atom
1.0
2.581 -3.548 0.000
2.581 3.548 0.000
0.000 0.000 2.609
Zn Ni Ir
1 2 1
direct
0.000 0.000 0.000
0.000 0.500 0.500
0.500 0.000 0.500
0.500 0.500 0.000

YCr3Br GGA-PBEsol relaxed; energy above the most stable polymorph in this dataset = 1.128 eV/atom; space-group type = Pm-3m; formation energy from raw total energies = 2.129 eV/atom
1.0
5.068 0.000 0.000
0.000 5.068 0.000
0.000 0.000 5.068
Y Cr Br
1 3 1
direct
0.000 0.000 0.000
0.000 0.000 0.500
0.000 0.500 0.000
0.500 0.000 0.000
0.500 0.500 0.500

TaCS2 GGA-PBEsol relaxed; space-group type = R-3m; formation energy from raw total energies = 0.952 eV/atom
1.0
1.495 0.863 7.133
-1.495 0.863 7.133
0.000 -1.727 7.133
Ta C S
1 1 2
direct
0.000 0.000 0.000
0.500 0.500 0.500
0.110 0.110 0.110
0.890 0.890 0.890

BeCr2Br GGA-PBEsol relaxed; energy above the most stable polymorph in this dataset = 0.017 eV/atom; space-group type = C2/m; formation energy from raw total energies = 0.574 eV/atom
1.0
3.561 -1.597 0.000
3.561 1.597 0.000
-2.716 0.000 5.555
Be Cr Br
1 2 1
direct
0.000 0.000 0.000
0.351 0.351 0.113
0.649 0.649 0.887
0.000 0.000 0.500

CaTaPb GGA-PBEsol relaxed; energy above the most stable polymorph in this dataset = 0.000 eV/atom; space-group type = P3m1
1.0
3.262 0.000 0.000
-1.631 2.825 0.000
0.000 0.000 7.734
Ca Ta Pb
1 1 1
direct
0.000 0.000 0.000
0.667 0.333 0.330
0.333 0.667 0.639

MgRuRh2 GGA-PBEsol relaxed; space-group type = C2/m; electronic total energy = -7.06 eV/atom
1.0
4.455 -1.351 0.000
4.455 1.351 0.000
-0.741 0.000 4.665
Mg Ru Rh
1 1 2
direct
0.000 0.000 0.000
0.500 0.500 0.500
0.244 0.244 0.739
0.756 0.756 0.261

TcNiTe2 GGA-PBEsol relaxed; space-group type = R-3m; formation energy from raw total energies = 0.150 eV/atom
1.0
1.665 0.961 7.396
-1.665 0.961 7.396
0.000 -1.923 7.396
Tc Ni Te
1 1 2
direct
0.000 0.000 0.000
0.500 0.500 0.500
0.246 0.246 0.246
0.754 0.754 0.754

CaBiTeN2 GGA-PBEsol relaxed; space-group type = P4/mmm; formation energy from raw total energies = 1.135 eV/atom
1.0
4.545 0.000 0.000
0.000 4.545 0.000
0.000 0.000 5.949
Ca Bi Te N
1 1 1 2
direct
0.000 0.000 0.000
0.500 0.500 0.500
0.000 0.000 0.500
0.000 0.500 0.000
0.500 0.000 0.000

K2RuPb GGA-PBEsol relaxed; space-group type = P4mm; electronic total energy = -3.63 eV/atom
1.0
3.627 0.000 0.000
0.000 3.627 0.000
0.000 0.000 9.951
K Ru Pb
2 1 1
direct
0.000 0.000 0.000
0.500 0.500 0.412
0.500 0.500 0.752
0.000 0.000 0.663

AlHg2SbCl4 GGA-PBEsol relaxed; space-group type = Pbcn; formation energy from raw total energies = -0.913 eV/atom
1.0
11.953 0.000 0.000
0.000 8.809 0.000
0.000 0.000 17.766
Al Hg Sb Cl
8 16 8 32
direct
0.105 0.087 0.123
0.105 0.913 0.623
0.395 0.413 0.623
0.395 0.587 0.123
0.605 0.413 0.877
0.605 0.587 0.377
0.895 0.087 0.377
0.895 0.913 0.877
0.000 0.468 0.750
0.000 0.500 0.000
0.000 0.500 0.500
0.000 0.532 0.250
0.235 0.176 0.877
0.235 0.824 0.377
0.265 0.324 0.377
0.265 0.676 0.877
0.500 0.000 0.000
0.500 0.000 0.500
0.500 0.032 0.250
0.500 0.968 0.750
0.735 0.324 0.123
0.735 0.676 0.623
0.765 0.176 0.623
0.765 0.824 0.123
0.122 0.439 0.876
0.122 0.561 0.376
0.378 0.061 0.376
0.378 0.939 0.876
0.622 0.061 0.124
0.622 0.939 0.624
0.878 0.439 0.624
0.878 0.561 0.124
0.039 0.165 0.439
0.039 0.835 0.939
0.073 0.137 0.662
0.073 0.863 0.162
0.141 0.239 0.215
0.141 0.761 0.715
0.248 0.093 0.049
0.248 0.907 0.549
0.252 0.407 0.549
0.252 0.593 0.049
0.359 0.261 0.715
0.359 0.739 0.215
0.427 0.363 0.162
0.427 0.637 0.662
0.461 0.335 0.939
0.461 0.665 0.439
0.539 0.335 0.561
0.539 0.665 0.061
0.573 0.363 0.338
0.573 0.637 0.838
0.641 0.261 0.785
0.641 0.739 0.285
0.748 0.407 0.951
0.748 0.593 0.451
0.752 0.093 0.451
0.752 0.907 0.951
0.859 0.239 0.285
0.859 0.761 0.785
0.927 0.137 0.838
0.927 0.863 0.338
0.961 0.165 0.061
0.961 0.835 0.561

Sc3Ni2 GGA-PBEsol relaxed; space-group type = P-3m1; electronic total energy = -6.78 eV/atom
1.0
4.369 0.000 0.000
-2.185 3.784 0.000
0.000 0.000 5.378
Sc Ni
3 2
direct
0.000 0.000 0.000
0.333 0.667 0.338
0.667 0.333 0.662
0.333 0.667 0.849
0.667 0.333 0.151

Sb3IrW GGA-PBEsol relaxed; space-group type = Pm-3m; formation energy from raw total energies = 1.378 eV/atom
1.0
5.068 0.000 0.000
0.000 5.068 0.000
0.000 0.000 5.068
Sb Ir W
3 1 1
direct
0.000 0.000 0.500
0.000 0.500 0.000
0.500 0.000 0.000
0.500 0.500 0.500
0.000 0.000 0.000

ScCdMo GGA-PBEsol relaxed; energy above the most stable polymorph in this dataset = 0.164 eV/atom; space-group type = I4mm
1.0
-1.688 1.688 4.890
1.688 -1.688 4.890
1.688 1.688 -4.890
Sc Cd Mo
1 1 1
direct
0.000 0.000 0.000
0.685 0.685 0.000
0.344 0.344 0.000

KRu2W GGA-PBEsol relaxed; space-group type = Cmm2; electronic total energy = -7.85 eV/atom
1.0
1.438 -2.279 0.000
1.438 2.279 0.000
0.000 0.000 10.331
K Ru W
1 2 1
direct
0.000 0.000 0.000
0.000 0.000 0.484
0.500 0.500 0.273
0.500 0.500 0.697

CdSiNi GGA-PBEsol relaxed; space-group type = F-43m; formation energy from raw total energies = 0.539 eV/atom
1.0
0.000 2.950 2.950
2.950 0.000 2.950
2.950 2.950 0.000
Cd Si Ni
1 1 1
direct
0.000 0.000 0.000
0.250 0.250 0.250
0.750 0.750 0.750

Na3ZnSn GGA-PBEsol relaxed; space-group type = Pm-3m; electronic total energy = -1.68 eV/atom
1.0
5.881 0.000 0.000
0.000 5.881 0.000
0.000 0.000 5.881
Na Zn Sn
3 1 1
direct
0.000 0.000 0.500
0.000 0.500 0.000
0.500 0.000 0.000
0.500 0.500 0.500
0.000 0.000 0.000

K2MoBr GGA-PBEsol relaxed; space-group type = P4mm; formation energy from raw total energies = 0.624 eV/atom
1.0
3.911 0.000 0.000
0.000 3.911 0.000
0.000 0.000 10.589
K Mo Br
2 1 1
direct
0.000 0.000 0.000
0.500 0.500 0.431
0.000 0.000 0.662
0.500 0.500 0.138

MnAgSe2 GGA-PBEsol relaxed; space-group type = R-3m; formation energy from raw total energies = -0.203 eV/atom
1.0
1.702 0.983 7.777
-1.702 0.983 7.777
0.000 -1.965 7.777
Mn Ag Se
1 1 2
direct
0.000 0.000 0.000
0.500 0.500 0.500
0.393 0.393 0.393
0.607 0.607 0.607

Mn2CuPb GGA-PBEsol relaxed; space-group type = I4/mmm; electronic total energy = -6.53 eV/atom
1.0
-1.949 1.949 3.877
1.949 -1.949 3.877
1.949 1.949 -3.877
Mn Cu Pb
2 1 1
direct
0.250 0.750 0.500
0.750 0.250 0.500
0.000 0.000 0.000
0.500 0.500 0.000